Compound: MnInIrN2
Source: the Alexandria database
Functional: PBE
Structure: optimized geometry

Geometry as CIF:
```
data_MnInIrN2
_chemical_formula_sum 'Mn1 In1 Ir1 N2'
_cell_length_a 3.646
_cell_length_b 3.646
_cell_length_c 5.705
_cell_angle_alpha 90.00
_cell_angle_beta 90.00
_cell_angle_gamma 90.00
_symmetry_space_group_name_H-M 'P 4/m m m'
_symmetry_Int_Tables_number 123
_symmetry_space_group_name_Hall '-P 4 2'
loop_
_atom_site_label
_atom_site_type_symbol
_atom_site_fract_x
_atom_site_fract_y
_atom_site_fract_z
Mn1 Mn 0.000 0.000 0.000
In1 In 0.000 0.000 0.500
Ir1 Ir 0.500 0.500 0.500
N1 N 0.000 0.500 0.000
```

## Properties
**Formation energy from raw total energies**: 1.142 eV/atom